# 1
VASP calculation (PBE) on crystalline Pr3DyO at its relaxed geometry.

a b c (Å): 5.1375 5.1375 5.1375
angles (deg): 90.00 90.00 90.00
Last column: nearest neighbours and their distance in Å.
Positions (direct):
Pr1 0.0000 0.5000 0.0000  2 O 2.57
Pr2 0.0000 0.0000 0.5000  2 O 2.57
Pr3 0.5000 0.0000 0.0000  2 O 2.57
O1 0.0000 0.0000 0.0000  6 Pr 2.57
Dy1 0.5000 0.5000 0.5000  12 Pr 3.63

Formation energy without anion corrections   -1.090 eV/atom
Space-group type   Pm-3m (221)



# 2
VASP calculation (PBE) on crystalline Ti3AlPd at its relaxed geometry.

a b c (Å): 4.7365 4.7365 4.7365
angles (deg): 90.00 90.00 90.00
Last column: nearest neighbours and their distance in Å.
Positions (direct):
Al1 0.5000 0.5000 0.5000  12 Ti 3.35
Pd1 0.0000 0.0000 0.0000  6 Ti 2.37
Ti1 0.0000 0.5000 0.0000  2 Pd 2.37
Ti2 0.0000 0.0000 0.5000  2 Pd 2.37
Ti3 0.5000 0.0000 0.0000  2 Pd 2.37

Space-group type   Pm-3m (221)
Final energy   -30.16 eV/cell